VASP calculation (GGA+U) on a relaxed structure of VAuO2.

Summary:
* crystal system: monoclinic
* final energy: -25.61 eV per formula unit
* symmetry: Pm, No. 6

a b c (Å): 4.967 2.851 9.283
angles (deg): 90.00 92.10 90.00
Positions (direct):
Au 0.195 0.000 0.571
Au 0.694 0.500 0.567
O 0.460 0.000 0.957
O 0.453 0.500 0.180
O 0.938 0.000 0.957
O 0.975 0.500 0.180
V 0.210 0.000 0.117
V 0.703 0.500 0.020